Below is a relaxed SrZnCuP2O8 crystal, with properties calculated at the PBE-GGA level.

Geometry as POSCAR:
```
SrZnCuP2O8
1.0
5.642 0.002 0.016
-1.150 6.686 -0.014
-2.045 -3.365 8.371
O Cu P Zn Sr
16 2 4 2 2
direct
0.656 0.480 0.210
0.055 0.903 0.322
0.945 0.097 0.678
0.347 0.200 0.252
0.184 0.433 0.104
0.961 0.270 0.406
0.653 0.800 0.748
0.740 0.992 0.123
0.344 0.520 0.790
0.628 0.407 0.604
0.621 0.930 0.354
0.260 0.008 0.877
0.372 0.593 0.396
0.379 0.070 0.646
0.039 0.730 0.594
0.816 0.567 0.896
0.363 0.152 0.456
0.637 0.848 0.544
0.394 0.423 0.238
0.840 0.026 0.298
0.160 0.974 0.702
0.606 0.577 0.762
0.001 0.599 0.360
0.999 0.401 0.640
0.743 0.199 0.940
0.257 0.801 0.060
```

Computed properties:
M_tot in μB per cell: 2.0
Crystal system: triclinic
DFT total energy in hartree per atom: -0.2394
Energy relative to the lowest polymorph listed for this composition in meV/atom: 0
Raw formation energy in eV/atom: -2.09

***

Below is a relaxed TaCuP2O crystal, with properties calculated at the PBE-GGA level.

Geometry as POSCAR:
```
TaCuP2O
1.0
4.571 0.000 0.000
0.000 4.571 0.000
0.000 0.000 3.498
Ta Cu O P
1 1 1 2
direct
0.500 0.500 0.500
0.000 0.000 0.000
0.000 0.000 0.500
0.500 0.000 0.000
0.000 0.500 0.000
```

Computed properties:
M_tot in μB per cell: 0.0
Crystal system: tetragonal
DFT total energy in hartree per atom: -0.2173
Energy relative to the lowest polymorph listed for this composition in meV/atom: 602
Raw formation energy in eV/atom: 0.43

***

Below is a relaxed TaCuP2O crystal, with properties calculated at the PBE-GGA level.

Geometry as POSCAR:
```
TaCuP2O
1.0
-1.244 0.455 -4.753
-4.628 -1.324 1.085
-0.911 3.666 0.589
Cu Ta O P
1 1 1 2
direct
0.500 0.500 0.500
0.000 0.000 0.000
0.000 0.000 0.500
0.500 0.000 0.000
0.000 0.500 0.000
```

Computed properties:
M_tot in μB per cell: 0.0
Crystal system: tetragonal
DFT total energy in hartree per atom: -0.2394
Energy relative to the lowest polymorph listed for this composition in meV/atom: 0
Raw formation energy in eV/atom: -0.17

***

Below is a relaxed Cu2TcPO crystal, with properties calculated at the PBE-GGA level.

Geometry as POSCAR:
```
Cu2TcPO
1.0
4.800 0.000 0.000
0.000 3.626 0.000
0.000 0.000 4.800
Cu Tc P O
2 1 1 1
direct
0.500 0.000 0.000
0.000 0.000 0.500
0.000 0.000 0.000
0.500 0.500 0.500
0.000 0.500 0.000
```

Computed properties:
M_tot in μB per cell: 0.0
Crystal system: tetragonal
DFT total energy in hartree per atom: -0.1902
Raw formation energy in eV/atom: 0.61

***

Below is a relaxed CuTe2PO crystal, with properties calculated at the PBE-GGA level.

Geometry as POSCAR:
```
CuTe2PO
1.0
-4.886 -1.148 -1.983
1.421 -1.935 -2.382
-0.326 -4.275 3.278
Cu O Te P
1 1 2 1
direct
0.500 0.500 0.500
0.000 0.500 0.000
0.000 0.000 0.500
0.500 0.000 0.000
0.000 0.000 0.000
```

Computed properties:
M_tot in μB per cell: 0.0
Crystal system: tetragonal
DFT total energy in hartree per atom: -0.1516
Raw formation energy in eV/atom: 0.02

***

Below is a relaxed CuTeP2O8 crystal, with properties calculated at the PBE-GGA level.

Geometry as POSCAR:
```
CuTeP2O8
1.0
-5.398 -1.677 -3.264
1.830 -4.431 -0.750
-3.626 -4.162 8.135
P Cu O Te
4 2 16 2
direct
0.750 0.656 0.094
0.750 0.896 0.599
0.250 0.344 0.906
0.250 0.104 0.401
0.750 0.117 0.282
0.250 0.883 0.718
0.750 0.874 0.447
0.750 0.335 0.109
0.433 0.278 0.324
0.438 0.224 0.835
0.250 0.126 0.553
0.250 0.665 0.891
0.250 0.797 0.374
0.933 0.722 0.676
0.750 0.203 0.626
0.750 0.746 0.936
0.567 0.722 0.676
0.938 0.776 0.165
0.062 0.224 0.835
0.250 0.254 0.064
0.562 0.776 0.165
0.067 0.278 0.324
0.750 0.419 0.802
0.250 0.581 0.198
```

Computed properties:
M_tot in μB per cell: 2.0
Crystal system: monoclinic
DFT total energy in hartree per atom: -0.2341
Raw formation energy in eV/atom: -1.56

***

Below is a relaxed Th2CuP3O12 crystal, with properties calculated at the PBE-GGA level.

Geometry as POSCAR:
```
Th2CuP3O12
1.0
-6.043 -6.004 -7.801
-6.062 -9.616 -2.050
-6.841 1.686 1.037
O Th Cu P
24 4 2 6
direct
0.688 0.241 0.927
0.039 0.066 0.789
0.100 0.396 0.224
0.961 0.934 0.211
0.900 0.604 0.776
0.660 0.632 0.322
0.032 0.662 0.008
0.340 0.368 0.678
0.604 0.900 0.276
0.632 0.660 0.822
0.934 0.961 0.711
0.662 0.032 0.508
0.017 0.642 0.362
0.358 0.983 0.138
0.968 0.338 0.992
0.312 0.759 0.073
0.066 0.039 0.289
0.642 0.017 0.862
0.368 0.340 0.178
0.241 0.688 0.427
0.338 0.968 0.492
0.396 0.100 0.724
0.759 0.312 0.573
0.983 0.358 0.638
0.993 0.286 0.343
0.007 0.714 0.657
0.286 0.993 0.843
0.714 0.007 0.157
0.500 0.500 0.500
0.500 0.500 0.000
0.864 0.499 0.805
0.136 0.501 0.195
0.859 0.141 0.750
0.141 0.859 0.250
0.499 0.864 0.305
0.501 0.136 0.695
```

Computed properties:
M_tot in μB per cell: 0.1
Crystal system: monoclinic
DFT total energy in hartree per atom: -0.2925
Raw formation energy in eV/atom: -2.70

***

Below is a relaxed TiCuP2O8 crystal, with properties calculated at the PBE-GGA level.

Geometry as POSCAR:
```
TiCuP2O8
1.0
6.026 0.000 0.000
0.000 5.018 0.072
0.000 0.278 10.000
O P Ti Cu
16 4 2 2
direct
0.040 0.301 0.836
0.460 0.301 0.836
0.250 0.360 0.053
0.750 0.269 0.121
0.960 0.699 0.164
0.750 0.640 0.947
0.750 0.890 0.454
0.058 0.261 0.326
0.558 0.739 0.674
0.250 0.801 0.353
0.540 0.699 0.164
0.442 0.261 0.326
0.250 0.731 0.879
0.250 0.110 0.546
0.750 0.199 0.647
0.942 0.739 0.674
0.250 0.427 0.899
0.250 0.091 0.396
0.750 0.573 0.101
0.750 0.909 0.604
0.750 0.460 0.784
0.250 0.540 0.216
0.250 0.874 0.701
0.750 0.126 0.299
```

Computed properties:
M_tot in μB per cell: 2.0
Crystal system: monoclinic
DFT total energy in hartree per atom: -0.2694
Energy relative to the lowest polymorph listed for this composition in meV/atom: 0
Raw formation energy in eV/atom: -2.12

***

Below is a relaxed TiCuPO2 crystal, with properties calculated at the PBE-GGA level.

Geometry as POSCAR:
```
TiCuPO2
1.0
-1.054 2.128 -2.876
-3.533 -0.144 1.188
0.686 3.707 2.492
P Cu Ti O
1 1 1 2
direct
0.000 0.000 0.500
0.000 0.000 0.000
0.500 0.500 0.500
0.500 0.000 0.000
0.000 0.500 0.000
```

Computed properties:
M_tot in μB per cell: 0.0
Crystal system: tetragonal
DFT total energy in hartree per atom: -0.2089
Energy relative to the lowest polymorph listed for this composition in meV/atom: 842
Raw formation energy in eV/atom: -0.22

***

Below is a relaxed Ti2CuP3O12 crystal, with properties calculated at the PBE-GGA level.

Geometry as POSCAR:
```
Ti2CuP3O12
1.0
-3.250 7.659 -2.318
-2.118 1.460 -8.244
-8.311 0.644 -2.260
O Ti P Cu
24 4 6 2
direct
0.271 0.057 0.916
0.498 0.125 0.306
0.694 0.502 0.875
0.375 0.002 0.194
0.729 0.943 0.084
0.416 0.557 0.771
0.584 0.443 0.229
0.502 0.875 0.694
0.998 0.806 0.625
0.771 0.416 0.557
0.306 0.498 0.125
0.002 0.194 0.375
0.943 0.084 0.729
0.057 0.916 0.271
0.229 0.584 0.443
0.806 0.625 0.998
0.084 0.729 0.943
0.916 0.271 0.057
0.557 0.771 0.416
0.194 0.375 0.002
0.443 0.229 0.584
0.625 0.998 0.806
0.875 0.694 0.502
0.125 0.306 0.498
0.641 0.641 0.641
0.859 0.859 0.859
0.141 0.141 0.141
0.359 0.359 0.359
0.039 0.750 0.461
0.461 0.039 0.750
0.539 0.961 0.250
0.750 0.461 0.039
0.961 0.250 0.539
0.250 0.539 0.961
0.000 0.000 0.000
0.500 0.500 0.500
```

Computed properties:
M_tot in μB per cell: 0.2
Crystal system: trigonal
DFT total energy in hartree per atom: -0.2812
Raw formation energy in eV/atom: -2.34

***

Below is a relaxed TiCuPO2 crystal, with properties calculated at the PBE-GGA level.

Geometry as POSCAR:
```
TiCuPO2
1.0
3.693 0.000 0.000
0.000 3.693 0.000
0.000 0.000 5.488
O Cu Ti P
2 1 1 1
direct
0.000 0.500 0.000
0.500 0.000 0.000
0.500 0.500 0.500
0.000 0.000 0.000
0.000 0.000 0.500
```

Computed properties:
M_tot in μB per cell: 0.2
Crystal system: tetragonal
DFT total energy in hartree per atom: -0.2398
Energy relative to the lowest polymorph listed for this composition in meV/atom: 0
Raw formation energy in eV/atom: -1.06

***

Below is a relaxed TiCuP2O crystal, with properties calculated at the PBE-GGA level.

Geometry as POSCAR:
```
TiCuP2O
1.0
4.547 0.000 0.000
0.000 4.547 0.000
0.000 0.000 3.588
Ti Cu O P
1 1 1 2
direct
0.500 0.500 0.500
0.000 0.000 0.000
0.000 0.000 0.500
0.500 0.000 0.000
0.000 0.500 0.000
```

Computed properties:
M_tot in μB per cell: 0.0
Crystal system: tetragonal
DFT total energy in hartree per atom: -0.1973
Energy relative to the lowest polymorph listed for this composition in meV/atom: 398
Raw formation energy in eV/atom: 0.19